18
Lattice="5.141 0.000 0.000 -2.571 4.452 0.000 0.000 0.000 10.042" Properties=species:S:1:pos:R:3 comment="PBE with a Hubbard U PmCrPdO6, optimized geometry" final_energy_ev_per_fu=-61.2 n_ef_per_ev_atom=0.04 pbc="T T T"
Pm 0.000 0.000 0.000
Pm 0.000 0.000 5.021
Cr 0.000 2.968 2.510
Cr 2.571 1.484 7.531
Pd 0.000 2.968 7.531
Pd 2.571 1.484 2.510
O -0.891 1.688 1.432
O -1.554 2.836 3.589
O 0.891 1.688 3.589
O -0.663 4.380 1.432
O 1.907 0.072 6.452
O 1.016 1.616 8.610
O 1.554 2.836 1.432
O 0.663 4.380 3.589
O 3.234 0.072 8.610
O 1.679 2.764 6.452
O 4.125 1.616 6.452
O 3.462 2.764 8.610